(1)
DFT (PBE-GGA) results for PaInBi2 after structural relaxation.

```
data_PaInBi2
_cell_length_a 7.781
_cell_length_b 7.781
_cell_length_c 7.781
_cell_angle_alpha 90.00
_cell_angle_beta 90.00
_cell_angle_gamma 90.00
_space_group_name_H-M_alt 'F m -3 m'
_space_group_IT_number 225
_space_group_name_Hall '-F 4 2 3'
loop_
_atom_site_label
_atom_site_type_symbol
_atom_site_fract_x
_atom_site_fract_y
_atom_site_fract_z
_atom_site_occupancy
Pa1 Pa 0.000 0.000 0.000 1
In1 In 0.000 0.000 0.500 1
Bi1 Bi 0.250 0.250 0.250 1
```

Output
Offset from the most stable computed form in eV per formula unit: 0.94
E_form in meV per atom: 88


(2)
DFT (PBE-GGA) results for Nd2SiSe4 after structural relaxation.

```
data_Nd2SiSe4
_cell_length_a 6.883
_cell_length_b 6.883
_cell_length_c 7.691
_cell_angle_alpha 90.00
_cell_angle_beta 90.00
_cell_angle_gamma 90.00
_space_group_name_H-M_alt 'I 4/m m m'
_space_group_IT_number 139
_space_group_name_Hall '-I 4 2'
loop_
_atom_site_label
_atom_site_type_symbol
_atom_site_fract_x
_atom_site_fract_y
_atom_site_fract_z
_atom_site_occupancy
Nd1 Nd 0.000 0.500 0.250 1
Si1 Si 0.000 0.000 0.000 1
Se1 Se 0.246 0.246 0.500 1
```

Output
Uncorrected formation energy in eV/atom: -1.129


(3)
DFT (PBE-GGA) results for Tb5Ho12Sc2 after structural relaxation.

```
data_Tb5Ho12Sc2
_cell_length_a 15.341
_cell_length_b 9.112
_cell_length_c 8.487
_cell_angle_alpha 90.00
_cell_angle_beta 92.37
_cell_angle_gamma 90.00
_space_group_name_H-M_alt 'C 1 2/m 1'
_space_group_IT_number 12
loop_
_space_group_symop_operation_xyz
'x,y,z'
'-x,-y,-z'
'-x,y,-z'
'x,-y,z'
'x+1/2,y+1/2,z'
'-x+1/2,-y+1/2,-z'
'-x+1/2,y+1/2,-z'
'x+1/2,-y+1/2,z'
loop_
_atom_site_label
_atom_site_type_symbol
_atom_site_fract_x
_atom_site_fract_y
_atom_site_fract_z
_atom_site_occupancy
Tb1 Tb 0.000 0.000 0.000 1
Tb2 Tb 0.205 0.500 0.524 1
Tb3 Tb 0.231 0.000 0.069 1
Ho1 Ho 0.056 0.500 0.836 1
Ho2 Ho 0.073 0.000 0.376 1
Ho3 Ho 0.130 0.307 0.179 1
Ho4 Ho 0.147 0.181 0.735 1
Sc1 Sc 0.000 0.332 0.500 1
```

Output
E_form in meV per atom: 120